Entry from the Alexandria database: a relaxed LiUPa2As4 crystal (PBE-GGA).

a = 4.102 Å, b = 7.096 Å, c = 6.962 Å
α = 109.62°, β = 90.00°, γ = 90.00°
Last column: magnetic moment on the atom in μB.
Atoms (fractional coordinates):
1 Li 0.500 0.500 0.000  0.00
2 Pa 0.000 0.500 0.500  0.41
3 Pa 0.500 0.000 0.500  0.43
4 As 0.500 0.746 0.753  -0.04
5 As 0.000 0.749 0.250  -0.03
6 As 0.500 0.254 0.247  -0.04
7 As 0.000 0.251 0.750  -0.03
8 U 0.000 0.000 0.000  2.23

formation energy = -0.8210 eV/atom
space-group type = P2/m (10)
E_tot = -0.5270 Ry/atom

---

Entry from the Alexandria database: a relaxed ZrMnNi3 crystal (PBE-GGA).

a = 4.512 Å, b = 4.512 Å, c = 4.512 Å
α = 90.00°, β = 90.00°, γ = 90.00°
Last column: magnetic moment on the atom in μB.
Atoms (fractional coordinates):
1 Ni 0.000 0.500 0.000  0.04
2 Ni 0.500 0.000 0.000  0.04
3 Ni 0.000 0.000 0.500  0.03
4 Mn 0.500 0.500 0.500  0.32
5 Zr 0.000 0.000 0.000  -0.05

formation energy = 1.6268 eV/atom
energy above the most stable polymorph in this dataset = 510 kJ/mol of formula units
space-group type = Pm-3m (221)
E_tot = -0.3958 Ry/atom

---

Entry from the Alexandria database: a relaxed MoIrPt crystal (PBE-GGA).

a = 4.464 Å, b = 5.195 Å, c = 5.195 Å
α = 94.35°, β = 115.45°, γ = 115.45°
Atoms (fractional coordinates):
1 Mo 0.500 0.165 0.835
2 Mo 0.500 0.835 0.165
3 Ir 0.242 0.242 0.242
4 Ir 0.758 0.758 0.758
5 Pt 0.000 0.670 0.330
6 Pt 0.000 0.330 0.670

formation energy = -0.0790 eV/atom
energy above the most stable polymorph in this dataset = 65 kJ/mol of formula units
space-group type = Immm (71)
E_tot = -0.6363 Ry/atom

---

Entry from the Alexandria database: a relaxed CdPb2Se crystal (PBE-GGA).

a = 5.784 Å, b = 5.784 Å, c = 5.784 Å
α = 130.13°, β = 130.13°, γ = 73.19°
Atoms (fractional coordinates):
1 Pb 0.500 0.500 0.000
2 Pb 0.000 0.000 0.000
3 Se 0.250 0.750 0.500
4 Cd 0.750 0.250 0.500

ΔE_f (raw) = -0.04 eV/atom
energy above the most stable polymorph in this dataset = 47 kJ/mol of formula units
space-group type = I4/mmm (139)
E_tot = -0.2199 Ry/atom

---

The evaluated total moment for the records listed, in turn: 3.40 0.36 0.00 0.00 μB/f.u..